Record 1
First-principles (PBE) data for an optimized crystal structure of Dy2ErSi6, as listed in the Alexandria database.

Geometry as POSCAR:
```
Dy2ErSi6
1.0
-3.628 1.491 -0.082
-2.007 -5.128 -4.454
-0.555 -0.967 6.994
Dy Er Si
2 1 6
Cartesian
-1.039 -2.354 3.178
-5.152 -2.249 -0.720
-0.555 -0.967 6.994
-2.667 -1.282 0.804
-3.524 -3.320 1.654
-2.185 0.101 4.626
-3.709 -3.642 3.982
-2.482 -0.961 -1.523
-4.006 -4.704 -2.167
```

Output
Its total energy is -5.66 eV/atom. For the magnetization, the calculation gives 0.00 μB/f.u. For the density of states at the Fermi level, the calculation gives 5.44 states/eV/cell. The crystal system is hexagonal.

***

Record 2
First-principles (PBE) data for an optimized crystal structure of Dy3ErSi4, as listed in the Alexandria database.

Geometry as POSCAR:
```
Dy3ErSi4
1.0
3.982 0.000 0.000
0.000 6.177 -0.720
-1.991 -2.191 8.065
Dy Er Si
3 1 4
Cartesian
0.000 3.088 -0.360
0.000 0.348 2.991
1.991 3.638 4.355
1.991 0.000 0.000
0.000 1.814 5.548
1.991 2.171 1.798
1.991 4.476 1.528
0.000 -0.490 5.817
```

Output
Its total energy is -5.57 eV/atom. For the magnetization, the calculation gives 0.00 μB/f.u. For the density of states at the Fermi level, the calculation gives 6.18 states/eV/cell. The crystal system is orthorhombic.

***

Record 3
First-principles (PBE) data for an optimized crystal structure of Dy2ErSi2, as listed in the Alexandria database.

Geometry as POSCAR:
```
Dy2ErSi2
1.0
4.217 0.000 0.000
0.000 7.443 0.000
0.000 0.000 7.443
Dy Er Si
4 2 4
Cartesian
0.000 5.031 2.412
0.000 6.133 6.133
0.000 1.310 1.310
0.000 2.412 5.031
2.109 3.721 0.000
2.109 0.000 3.721
2.109 2.850 2.850
2.109 6.572 0.871
2.109 0.871 6.572
2.109 4.592 4.592
```

Output
For the magnetization, the calculation gives 0.00 μB/f.u. For the density of states at the Fermi level, the calculation gives 8.06 states/eV/cell. The crystal system is tetragonal. The calculation puts the energy above the most stable polymorph in this dataset at 0.00 eV per formula unit.

***

Record 4
First-principles (PBE) data for an optimized crystal structure of Sm8Dy4Er, as listed in the Alexandria database.

Geometry as POSCAR:
```
Sm8Dy4Er
1.0
-8.123 -1.333 -7.396
10.168 -3.765 -2.211
0.969 -1.812 7.542
Sm Dy Er
8 4 1
Cartesian
3.776 -4.058 -3.416
-0.763 -2.853 1.352
-1.229 -1.979 -2.281
3.182 -2.289 5.197
4.242 -4.932 0.217
8.454 -4.241 4.051
-5.440 -2.670 -6.115
-0.168 -4.622 -7.261
0.000 0.000 0.000
5.084 -1.883 -1.105
1.023 -2.549 -4.803
-4.062 -0.667 -3.698
5.569 -2.789 2.666
```

Output
Its total energy is -4.19 eV/atom. For the magnetization, the calculation gives 0.00 μB/f.u. For the density of states at the Fermi level, the calculation gives 19.28 states/eV/cell. The crystal system is trigonal.

***

Record 5
First-principles (PBE) data for an optimized crystal structure of Sm2Dy7Er2, as listed in the Alexandria database.

Geometry as POSCAR:
```
Sm2Dy7Er2
1.0
-0.857 3.667 4.702
-4.441 -4.145 5.222
6.529 -0.759 4.581
Sm Dy Er
2 7 2
Cartesian
3.736 0.345 7.070
-2.506 -1.582 7.435
3.433 -0.069 3.839
3.599 0.622 10.326
-2.203 -1.169 10.665
-2.369 -1.860 4.179
0.000 0.000 0.000
1.096 -1.607 10.264
0.134 0.370 4.241
0.165 0.943 7.804
1.065 -2.180 6.701
```

Output
For the magnetization, the calculation gives 0.00 μB/f.u. For the density of states at the Fermi level, the calculation gives 16.85 states/eV/cell. The crystal system is monoclinic. The calculation puts the energy above the most stable polymorph in this dataset at 0.49 eV per formula unit.

***

Record 6
First-principles (PBE) data for an optimized crystal structure of Sm3Dy7Er2, as listed in the Alexandria database.

Geometry as POSCAR:
```
Sm3Dy7Er2
1.0
-2.172 -1.977 -2.002
2.132 -4.821 2.447
-13.482 1.788 12.856
Sm Dy Er
3 7 2
Cartesian
-0.020 -3.399 0.222
-4.472 -0.406 5.252
-6.877 -2.626 10.052
-5.744 -3.741 6.770
-7.777 -1.268 6.532
-0.473 -3.061 3.535
0.000 0.000 0.000
-10.876 0.029 11.768
-10.450 -3.419 11.555
-3.072 -1.590 1.746
-3.529 -3.883 4.506
-9.992 -1.126 8.795
```

Output
For the magnetization, the calculation gives 0.00 μB/f.u. For the density of states at the Fermi level, the calculation gives 15.01 states/eV/cell. The crystal system is monoclinic. The calculation puts the energy above the most stable polymorph in this dataset at 0.00 eV per formula unit.

***

Record 7
First-principles (PBE) data for an optimized crystal structure of SmDy6Er8, as listed in the Alexandria database.

Geometry as POSCAR:
```
SmDy6Er8
1.0
8.975 0.000 0.000
4.488 7.773 0.000
4.488 2.591 6.810
Sm Dy Er
1 6 8
Cartesian
0.000 0.000 0.000
12.061 9.185 5.968
2.564 2.083 0.842
5.009 4.511 0.842
12.941 5.853 5.968
15.387 8.281 5.968
5.889 1.179 0.842
6.138 3.655 3.908
8.879 1.961 2.902
6.235 6.876 2.902
8.975 5.182 1.846
8.975 5.182 4.964
11.716 3.488 3.908
9.072 8.402 3.908
11.813 6.708 2.902
```

Output
Its total energy is -4.46 eV/atom. For the magnetization, the calculation gives 0.00 μB/f.u. For the density of states at the Fermi level, the calculation gives 22.00 states/eV/cell. The crystal system is trigonal.

***

Record 8
First-principles (PBE) data for an optimized crystal structure of Sm3Dy5Er, as listed in the Alexandria database.

Geometry as POSCAR:
```
Sm3Dy5Er
1.0
9.369 -0.067 1.605
2.501 9.029 1.605
5.587 4.218 9.254
Sm Dy Er
6 10 2
Cartesian
12.803 9.667 9.748
9.851 7.438 5.452
0.000 0.000 0.000
2.793 2.109 4.627
4.654 3.514 2.716
7.606 5.743 7.012
10.165 4.087 4.230
4.265 6.692 1.605
15.054 11.367 11.515
7.119 5.375 3.694
10.337 7.806 8.769
2.402 1.814 0.948
6.713 8.658 4.230
7.604 2.270 1.605
7.292 9.094 8.234
10.743 4.524 8.234
5.145 3.885 6.043
12.312 9.296 6.420
```

Output
For the magnetization, the calculation gives 0.00 μB/f.u. For the density of states at the Fermi level, the calculation gives 24.94 states/eV/cell. The crystal system is monoclinic. The calculation puts the energy above the most stable polymorph in this dataset at 2.08 eV per formula unit.

***

Record 9
First-principles (PBE) data for an optimized crystal structure of SmDy2Er, as listed in the Alexandria database.

Geometry as POSCAR:
```
SmDy2Er
1.0
-3.281 -2.208 -4.060
-0.874 -5.596 -0.206
-5.089 -2.124 1.311
Dy Sm Er
2 1 1
Cartesian
-2.311 -2.482 -0.739
-6.933 -7.446 -2.217
-4.622 -4.964 -1.478
0.000 0.000 0.000
```

Output
For the magnetization, the calculation gives 0.00 μB/f.u. For the density of states at the Fermi level, the calculation gives 9.87 states/eV/cell. The crystal system is cubic. The calculation puts the energy above the most stable polymorph in this dataset at 0.53 eV per formula unit.

***

Record 10
First-principles (PBE) data for an optimized crystal structure of SmDy2Er, as listed in the Alexandria database.

Geometry as POSCAR:
```
SmDy2Er
1.0
-4.554 2.104 -0.341
-2.100 -4.562 -0.105
-0.354 0.047 5.010
Dy Sm Er
2 1 1
Cartesian
-0.177 0.023 2.505
-1.050 -2.281 -0.053
-2.277 1.052 -0.171
-3.504 -1.205 2.282
```

Output
For the magnetization, the calculation gives 0.00 μB/f.u. For the density of states at the Fermi level, the calculation gives 5.85 states/eV/cell. The crystal system is tetragonal. The calculation puts the energy above the most stable polymorph in this dataset at 0.04 eV per formula unit.

***

Record 11
First-principles (PBE) data for an optimized crystal structure of Sm2Dy7Er3, as listed in the Alexandria database.

Geometry as POSCAR:
```
Sm2Dy7Er3
1.0
3.573 0.000 0.000
0.000 5.746 -0.267
0.000 -3.637 18.788
Sm Dy Er
2 7 3
Cartesian
1.787 2.308 5.378
1.787 -0.199 13.143
1.787 2.459 8.500
1.787 -0.351 10.021
0.000 2.140 2.550
0.000 0.000 0.000
0.000 -0.031 15.971
1.787 -2.961 15.466
1.787 5.069 3.055
1.787 2.873 -0.134
0.000 -0.492 6.897
0.000 2.600 11.623
```

Output
For the magnetization, the calculation gives 0.00 μB/f.u. For the density of states at the Fermi level, the calculation gives 14.75 states/eV/cell. The crystal system is monoclinic. The calculation puts the energy above the most stable polymorph in this dataset at 0.00 eV per formula unit.

***

Record 12
First-principles (PBE) data for an optimized crystal structure of SmDy6Er2, as listed in the Alexandria database.

Geometry as POSCAR:
```
SmDy6Er2
1.0
7.324 0.000 0.000
3.662 6.342 0.000
3.662 2.114 6.352
Sm Dy Er
1 6 2
Cartesian
3.662 2.114 0.319
9.229 3.128 4.416
7.324 6.428 4.416
5.418 3.128 4.416
3.662 4.514 1.847
1.584 0.914 1.847
5.740 0.914 1.847
10.985 6.342 4.664
7.324 4.228 1.658
```

Output
For the magnetization, the calculation gives 0.00 μB/f.u. For the density of states at the Fermi level, the calculation gives 13.94 states/eV/cell. The crystal system is trigonal. The calculation puts the energy above the most stable polymorph in this dataset at 3.10 eV per formula unit.

***

Record 13
First-principles (PBE) data for an optimized crystal structure of Sm3DyEr3, as listed in the Alexandria database.

Geometry as POSCAR:
```
Sm3DyEr3
1.0
-2.151 -5.471 -1.906
3.411 -3.520 -3.764
6.410 -9.292 9.426
Sm Dy Er
6 2 6
Cartesian
5.060 -7.813 0.068
2.052 -7.309 1.941
2.494 -10.308 0.038
5.176 -7.976 3.719
5.619 -10.975 1.816
2.610 -10.471 3.689
7.250 -15.286 5.646
0.421 -2.998 -1.889
0.157 -7.876 -0.949
3.149 -8.397 -2.822
2.726 -5.401 -0.932
4.944 -12.883 4.689
4.521 -9.887 6.580
7.513 -10.407 4.707
```

Output
For the magnetization, the calculation gives 0.00 μB/f.u. For the density of states at the Fermi level, the calculation gives 21.21 states/eV/cell. The crystal system is trigonal. The calculation puts the energy above the most stable polymorph in this dataset at 1.02 eV per formula unit.

***

Record 14
First-principles (PBE) data for an optimized crystal structure of Sm4DyEr8, as listed in the Alexandria database.

Geometry as POSCAR:
```
Sm4DyEr8
1.0
-8.603 6.100 -2.918
-0.993 -10.873 0.712
4.886 -0.053 6.000
Sm Dy Er
4 1 8
Cartesian
0.000 0.000 0.000
-0.496 -5.437 0.356
-4.798 -2.387 -1.103
-4.301 3.050 -1.459
1.947 -5.463 3.356
-3.859 -5.107 0.700
-0.851 0.280 3.094
-3.200 0.306 0.211
-5.130 3.445 1.810
-1.509 -5.133 3.583
-5.645 -2.200 2.180
0.936 -2.627 1.614
0.420 -8.272 1.984
```

Output
Its total energy is -4.10 eV/atom. For the magnetization, the calculation gives 0.99 μB/f.u. For the density of states at the Fermi level, the calculation gives 20.18 states/eV/cell. The crystal system is cubic.

***

Record 15
First-principles (PBE) data for an optimized crystal structure of Sm4Dy9Er11, as listed in the Alexandria database.

Geometry as POSCAR:
```
Sm4Dy9Er11
1.0
-2.152 -2.413 1.731
-4.173 -5.745 -13.199
12.123 -6.733 5.687
Sm Dy Er
4 9 11
Cartesian
5.763 -9.471 -2.153
0.035 -5.421 -3.629
2.489 -9.272 -5.947
3.309 -5.619 0.166
-1.749 -5.939 -6.571
7.547 -8.952 0.790
5.925 -6.405 2.323
-0.127 -8.486 -8.104
6.952 -12.015 -4.222
-1.154 -2.876 -1.560
4.577 -11.871 -6.975
1.222 -3.020 1.194
2.899 -7.446 -2.891
9.106 -9.837 -2.392
-1.156 -2.641 -5.120
3.200 -9.479 -9.237
4.750 -2.999 1.724
1.773 -6.106 -6.309
6.178 -6.373 -1.203
-1.577 -5.903 -10.190
9.527 -6.576 2.678
0.000 0.000 0.000
5.659 -8.882 -5.347
2.291 -3.596 -2.165
```

Output
Its total energy is -4.55 eV/atom. For the magnetization, the calculation gives 0.01 μB/f.u. For the density of states at the Fermi level, the calculation gives 29.87 states/eV/cell. The crystal system is orthorhombic.

***

Record 16
First-principles (PBE) data for an optimized crystal structure of Sm2Dy12Er5, as listed in the Alexandria database.

Geometry as POSCAR:
```
Sm2Dy12Er5
1.0
5.863 1.252 -1.285
-1.268 8.022 -7.690
-1.416 -2.927 15.083
Sm Dy Er
2 12 5
Cartesian
4.145 1.694 -1.366
-0.966 4.652 7.475
0.003 0.555 3.033
0.021 1.641 9.059
2.461 3.766 7.628
-0.982 3.566 1.434
1.454 5.688 -0.006
1.011 -1.352 10.615
2.168 7.699 -4.506
4.161 2.781 4.675
1.725 0.659 6.115
3.158 4.706 -2.950
0.718 2.581 -1.520
3.176 5.792 3.076
0.741 3.657 4.515
-0.269 5.573 -3.088
-0.708 -1.463 7.542
3.448 0.774 9.196
2.437 2.690 1.593
```

Output
For the magnetization, the calculation gives 0.00 μB/f.u. For the density of states at the Fermi level, the calculation gives 26.86 states/eV/cell. The crystal system is triclinic. The calculation puts the energy above the most stable polymorph in this dataset at 0.00 eV per formula unit.

***

Record 17
First-principles (PBE) data for an optimized crystal structure of Sm7Dy4Er, as listed in the Alexandria database.

Geometry as POSCAR:
```
Sm7Dy4Er
1.0
6.431 -1.864 2.737
0.723 5.809 2.247
2.833 -2.319 10.888
Sm Dy Er
7 4 1
Cartesian
5.175 1.514 3.180
4.812 0.112 12.693
2.624 -0.082 8.108
7.363 1.708 7.764
4.599 2.355 9.914
3.215 -0.932 1.369
5.388 -0.729 5.959
4.144 2.648 6.384
5.843 -1.022 9.489
7.816 1.424 11.279
2.171 0.202 4.594
0.000 0.000 0.000
```

Output
Its total energy is -4.66 eV/atom. For the magnetization, the calculation gives 0.00 μB/f.u. For the density of states at the Fermi level, the calculation gives 15.16 states/eV/cell. The crystal system is triclinic.

***

Record 18
First-principles (PBE) data for an optimized crystal structure of Sm2Dy4Er7, as listed in the Alexandria database.

Geometry as POSCAR:
```
Sm2Dy4Er7
1.0
6.018 0.000 0.000
-3.009 5.212 0.000
0.000 0.000 13.336
Sm Dy Er
2 4 7
Cartesian
3.009 1.737 0.000
0.000 3.475 0.000
0.000 0.000 8.070
3.009 5.212 5.265
3.009 1.737 6.668
0.000 3.475 6.668
-1.955 3.386 10.473
-1.054 1.825 2.862
0.000 0.000 0.000
3.910 0.000 10.473
2.108 0.000 2.862
1.955 3.386 2.862
1.054 1.825 10.473
```

Output
Its total energy is -4.42 eV/atom. For the magnetization, the calculation gives 0.00 μB/f.u. For the density of states at the Fermi level, the calculation gives 17.05 states/eV/cell. The crystal system is trigonal.

***

Record 19
First-principles (PBE) data for an optimized crystal structure of SmDy2Er4, as listed in the Alexandria database.

Geometry as POSCAR:
```
SmDy2Er4
1.0
-3.363 -2.818 -4.101
5.148 -0.242 -4.056
4.759 -8.328 6.537
Sm Dy Er
2 4 8
Cartesian
3.926 -1.809 -2.862
2.617 -9.578 1.242
1.856 -1.976 -5.480
4.688 -9.411 3.860
2.452 -4.606 0.735
4.092 -6.782 -2.355
1.784 -4.325 -2.702
4.541 -9.907 -1.599
2.002 -1.480 -0.021
-0.714 -4.208 -0.734
1.160 -7.289 -0.744
7.258 -7.179 -0.886
4.760 -7.062 1.082
5.383 -4.098 -0.876
```

Output
For the magnetization, the calculation gives 0.00 μB/f.u. For the density of states at the Fermi level, the calculation gives 23.27 states/eV/cell. The crystal system is monoclinic. The calculation puts the energy above the most stable polymorph in this dataset at 0.66 eV per formula unit.

***

Record 20
First-principles (PBE) data for an optimized crystal structure of Sm6DyEr2, as listed in the Alexandria database.

Geometry as POSCAR:
```
Sm6DyEr2
1.0
6.050 -0.029 -0.017
0.033 7.601 0.008
0.033 3.793 6.586
Sm Dy Er
6 1 2
Cartesian
1.774 5.949 5.345
1.776 9.242 5.348
1.774 7.599 2.495
4.342 5.416 1.232
4.340 2.123 1.229
4.342 3.767 4.082
0.000 0.000 0.000
4.770 7.574 4.383
1.345 3.791 2.194
```

Output
For the magnetization, the calculation gives 0.17 μB/f.u. For the density of states at the Fermi level, the calculation gives 13.60 states/eV/cell. The crystal system is monoclinic. The calculation puts the energy above the most stable polymorph in this dataset at 1.63 eV per formula unit.